A relaxed structure of La10Pm4Ho, computed with PBE-GGA.

Unit cell a=9.461 b=8.858 c=8.858 alpha=73.43 beta=57.72 gamma=57.72
Sites, in units of the cell vectors:
La (0.250, 0.500, 0.500)
La (0.526, 0.298, 0.000)
La (0.176, 0.000, 0.298)
La (0.474, 0.000, 0.702)
La (0.824, 0.702, 0.000)
La (0.474, 0.702, 0.000)
La (0.750, 0.500, 0.500)
La (0.176, 0.298, 0.000)
La (0.526, 0.000, 0.298)
La (0.824, 0.000, 0.702)
Pm (0.298, 0.703, 0.702)
Pm (0.000, 0.298, 0.703)
Pm (0.000, 0.702, 0.297)
Pm (0.702, 0.297, 0.298)
Ho (0.000, 0.000, 0.000)

Magnetic moment: 0.00 μB/cell
Calculated formation energy: 0.263 eV/atom